[1]
Tl2InHg4, relaxed, DFT PBE; formation energy = 0.1202 eV/atom; symmetry = No. 139; polymorph energy (0 for the lowest one) = 96 meV/atom; electronic total energy = -1.12 eV per atom
1.0
5.573 0.000 0.000
0.000 5.573 0.000
2.787 2.787 8.039
Hg In Tl
4 1 2
Cartesian
2.787 2.787 5.013 Hg
5.573 5.573 3.026 Hg
0.000 2.787 0.000 Hg
2.787 0.000 0.000 Hg
0.000 0.000 0.000 In
5.573 5.573 6.098 Tl
2.787 2.787 1.941 Tl

=====

[2]
Tl8In3Hg4, relaxed, DFT PBE; formation energy = 0.0368 eV/atom; symmetry = No. 21; electronic total energy = -1.85 eV per atom
1.0
-4.584 -3.105 -2.342
-0.386 -5.527 2.333
-8.002 4.597 9.566
Tl In Hg
8 3 4
Cartesian
-3.206 -1.027 -0.078 Tl
-4.307 -3.269 2.174 Tl
-7.282 1.314 4.795 Tl
-7.280 1.309 9.640 Tl
-2.004 1.151 2.396 Tl
-8.664 -0.766 7.383 Tl
-5.997 3.446 7.170 Tl
-3.204 -1.033 4.767 Tl
-6.485 -2.017 4.779 In
-0.386 -5.527 2.333 In
-4.386 -3.228 7.116 In
-5.682 -5.353 4.754 Hg
-9.317 2.483 7.227 Hg
-1.169 -2.202 2.334 Hg
-5.190 0.108 7.141 Hg

=====

[3]
Tl2InHg, relaxed, DFT PBE; formation energy = 0.0152 eV/atom; symmetry = No. 160; polymorph energy (0 for the lowest one) = 14 meV/atom; electronic total energy = -1.93 eV per atom
1.0
-3.995 2.339 -9.277
-6.870 0.762 -7.728
-6.190 4.275 -7.135
In Hg Tl
1 1 2
Cartesian
-12.867 5.565 -18.212 In
-8.481 3.668 -12.004 Hg
-4.191 1.813 -5.932 Tl
-0.044 0.019 -0.062 Tl